First-principles (PBE) data for Hf6FeRh after structural relaxation, as listed in Alexandria via LeMat-Bulk.

```
8
Lattice="2.998 -5.185 0.000 2.998 5.185 0.000 -2.694 0.000 5.352" Properties=species:S:1:pos:R:3 pbc="T T T"
Hf 0.781 2.054 1.306
Hf -0.600 0.000 4.069
Hf 0.781 -2.054 1.306
Hf 2.522 2.054 4.046
Hf 3.902 0.000 1.283
Hf 2.522 -2.054 4.046
Fe 0.000 0.000 0.000
Rh 1.651 0.000 2.676
```

Results
* space-group type: C2/m, No. 12
* formation energy from the elements: 0.074 eV/atom
* total magnetization: 0.001 μB per formula unit